No. 1
VASP calculation (PBE-GGA) on an optimized crystal structure of Ho8In2Pt.

Cell and atoms, written as CIF:
```
data_Ho8In2Pt
_symmetry_space_group_name_H-M 'C 1 2/m 1'
_symmetry_Int_Tables_number 12
_cell_length_a 18.9415
_cell_length_b 5.0555
_cell_length_c 6.6547
_cell_angle_alpha 90.00
_cell_angle_beta 103.88
_cell_angle_gamma 90.00
loop_
_symmetry_equiv_pos_as_xyz
'x,y,z'
'-x,-y,-z'
'-x,y,-z'
'x,-y,z'
'x+1/2,y+1/2,z'
'-x+1/2,-y+1/2,-z'
'-x+1/2,y+1/2,-z'
'x+1/2,-y+1/2,z'
loop_
_atom_site_label
_atom_site_type_symbol
_atom_site_fract_x
_atom_site_fract_y
_atom_site_fract_z
_atom_site_occupancy
Ho1 Ho 0.0198 0.0000 0.2780 1
Ho2 Ho 0.0902 0.5000 0.9524 1
Ho3 Ho 0.1469 0.5000 0.4844 1
Ho4 Ho 0.2124 0.0000 0.8131 1
In1 In 0.1846 0.0000 0.2540 1
Pt1 Pt 0.0000 0.5000 0.5000 1
```

Calculated values
Formation enthalpy at 0 K ... -4.3 eV per formula unit

***

No. 2
VASP calculation (PBE-GGA) on an optimized crystal structure of LiPr2ScS4.

Cell and atoms, written as CIF:
```
data_LiPr2ScS4
_symmetry_space_group_name_H-M 'P 1 2/m 1'
_symmetry_Int_Tables_number 10
_cell_length_a 6.7427
_cell_length_b 3.9323
_cell_length_c 6.8192
_cell_angle_alpha 90.00
_cell_angle_beta 109.49
_cell_angle_gamma 90.00
loop_
_symmetry_equiv_pos_as_xyz
'x,y,z'
'-x,-y,-z'
'-x,y,-z'
'x,-y,z'
loop_
_atom_site_label
_atom_site_type_symbol
_atom_site_fract_x
_atom_site_fract_y
_atom_site_fract_z
_atom_site_occupancy
Li1 Li 0.0000 0.0000 0.0000 1
Pr1 Pr 0.5000 0.0000 0.5000 1
Pr2 Pr 0.5000 0.5000 0.0000 1
Sc1 Sc 0.0000 0.5000 0.5000 1
S1 S 0.2201 0.0000 0.7387 1
S2 S 0.2235 0.5000 0.2452 1
```

Calculated values
ΔE_f (raw) ... -1.85 eV/atom

***

No. 3
VASP calculation (PBE-GGA) on an optimized crystal structure of Ga5Pb.

Cell and atoms, written as CIF:
```
data_Ga5Pb
_symmetry_space_group_name_H-M 'C 1 2/m 1'
_symmetry_Int_Tables_number 12
_cell_length_a 8.9113
_cell_length_b 4.0724
_cell_length_c 7.2350
_cell_angle_alpha 90.00
_cell_angle_beta 100.36
_cell_angle_gamma 90.00
loop_
_symmetry_equiv_pos_as_xyz
'x,y,z'
'-x,-y,-z'
'-x,y,-z'
'x,-y,z'
'x+1/2,y+1/2,z'
'-x+1/2,-y+1/2,-z'
'-x+1/2,y+1/2,-z'
'x+1/2,-y+1/2,z'
loop_
_atom_site_label
_atom_site_type_symbol
_atom_site_fract_x
_atom_site_fract_y
_atom_site_fract_z
_atom_site_occupancy
Ga1 Ga 0.0000 0.0000 0.0000 1
Ga2 Ga 0.1594 0.5000 0.2699 1
Ga3 Ga 0.1685 0.5000 0.8488 1
Pb1 Pb 0.0000 0.0000 0.5000 1
```

Calculated values
Formation enthalpy at 0 K ... 0.3 eV per formula unit

***

No. 4
VASP calculation (PBE-GGA) on an optimized crystal structure of K2Cd2Cu.

Cell and atoms, written as CIF:
```
data_K2Cd2Cu
_symmetry_space_group_name_H-M 'I 4/m m m'
_symmetry_Int_Tables_number 139
_symmetry_space_group_name_Hall '-I 4 2'
_cell_length_a 6.8723
_cell_length_b 6.8723
_cell_length_c 7.9654
_cell_angle_alpha 90.00
_cell_angle_beta 90.00
_cell_angle_gamma 90.00
loop_
_atom_site_label
_atom_site_type_symbol
_atom_site_fract_x
_atom_site_fract_y
_atom_site_fract_z
_atom_site_occupancy
K1 K 0.0000 0.5000 0.2500 1
Cd1 Cd 0.0000 0.0000 0.1761 1
Cu1 Cu 0.0000 0.0000 0.5000 1
```

Calculated values
Formation enthalpy at 0 K ... 1.0 eV per formula unit

***

No. 5
VASP calculation (PBE-GGA) on an optimized crystal structure of LaZnTc.

Cell and atoms, written as CIF:
```
data_LaZnTc
_symmetry_space_group_name_H-M 'I 4 m m'
_symmetry_Int_Tables_number 107
_symmetry_space_group_name_Hall 'I 4 -2'
_cell_length_a 3.6157
_cell_length_b 3.6157
_cell_length_c 9.7094
_cell_angle_alpha 90.00
_cell_angle_beta 90.00
_cell_angle_gamma 90.00
loop_
_atom_site_label
_atom_site_type_symbol
_atom_site_fract_x
_atom_site_fract_y
_atom_site_fract_z
_atom_site_occupancy
La1 La 0.0000 0.0000 0.0000 1
Zn1 Zn 0.0000 0.0000 0.7022 1
Tc1 Tc 0.0000 0.0000 0.2671 1
```

Calculated values
Formation enthalpy at 0 K ... 0.3 eV per formula unit

***

No. 6
VASP calculation (PBE-GGA) on an optimized crystal structure of Na8Sb2S.

Cell and atoms, written as CIF:
```
data_Na8Sb2S
_symmetry_space_group_name_H-M 'C 1 2/m 1'
_symmetry_Int_Tables_number 12
_cell_length_a 18.0202
_cell_length_b 5.2380
_cell_length_c 6.8361
_cell_angle_alpha 90.00
_cell_angle_beta 112.01
_cell_angle_gamma 90.00
loop_
_symmetry_equiv_pos_as_xyz
'x,y,z'
'-x,-y,-z'
'-x,y,-z'
'x,-y,z'
'x+1/2,y+1/2,z'
'-x+1/2,-y+1/2,-z'
'-x+1/2,y+1/2,-z'
'x+1/2,-y+1/2,z'
loop_
_atom_site_label
_atom_site_type_symbol
_atom_site_fract_x
_atom_site_fract_y
_atom_site_fract_z
_atom_site_occupancy
Na1 Na 0.0080 0.0000 0.2688 1
Na2 Na 0.1032 0.5000 0.9107 1
Na3 Na 0.1491 0.5000 0.4393 1
Na4 Na 0.2167 0.0000 0.7757 1
Sb1 Sb 0.1666 0.0000 0.1774 1
S1 S 0.0000 0.5000 0.5000 1
```

Calculated values
ΔE_f (raw) ... -0.57 eV/atom

***

No. 7
VASP calculation (PBE-GGA) on an optimized crystal structure of Sm2Ga2Se.

Cell and atoms, written as CIF:
```
data_Sm2Ga2Se
_symmetry_space_group_name_H-M 'R -3 m'
_symmetry_Int_Tables_number 166
_symmetry_space_group_name_Hall '-R 3 2"'
_cell_length_a 4.2086
_cell_length_b 4.2086
_cell_length_c 23.0689
_cell_angle_alpha 90.00
_cell_angle_beta 90.00
_cell_angle_gamma 120.00
loop_
_atom_site_label
_atom_site_type_symbol
_atom_site_fract_x
_atom_site_fract_y
_atom_site_fract_z
_atom_site_occupancy
Sm1 Sm 0.0000 0.0000 0.0916 1
Ga1 Ga 0.0000 0.0000 0.3219 1
Se1 Se 0.0000 0.0000 0.5000 1
```

Calculated values
ΔE_f (raw) ... -1.19 eV/atom

***

No. 8
VASP calculation (PBE-GGA) on an optimized crystal structure of Na2MgTaO4.

Cell and atoms, written as CIF:
```
data_Na2MgTaO4
_symmetry_space_group_name_H-M 'I -4'
_symmetry_Int_Tables_number 82
_cell_length_a 5.5890
_cell_length_b 5.5890
_cell_length_c 7.5686
_cell_angle_alpha 90.00
_cell_angle_beta 90.00
_cell_angle_gamma 90.00
loop_
_symmetry_equiv_pos_as_xyz
'x,y,z'
'y,-x,-z'
'-x,-y,z'
'-y,x,-z'
'x+1/2,y+1/2,z+1/2'
'y+1/2,-x+1/2,-z+1/2'
'-x+1/2,-y+1/2,z+1/2'
'-y+1/2,x+1/2,-z+1/2'
loop_
_atom_site_label
_atom_site_type_symbol
_atom_site_fract_x
_atom_site_fract_y
_atom_site_fract_z
_atom_site_occupancy
Na1 Na 0.0000 0.0000 0.0000 1
Na2 Na 0.0000 0.5000 0.2500 1
Mg1 Mg 0.0000 0.0000 0.5000 1
Ta1 Ta 0.0000 0.5000 0.7500 1
O1 O 0.1761 0.2404 0.6460 1
```

Calculated values
ΔE_f (raw) ... -2.19 eV/atom

***

Computed total energy (eV per formula unit) in order:
-52.5; -49.2; -18.5; -7.1; -16.3; -29.2; -24.9; -53.4